Material: Ag12Te2Se5
Method: DFT, GGA-PBE
State: relaxed

POSCAR file:
```
Ag12Te2Se5
1.0
-0.298 7.399 0.440
-6.779 -4.098 1.792
5.326 -0.198 6.933
Ag Te Se
12 2 5
Cartesian
0.070 -0.149 2.559
0.537 -1.997 6.987
0.408 1.193 7.177
-2.963 -1.918 4.464
-3.085 1.133 4.645
-2.733 -0.531 7.071
0.982 3.634 2.094
1.212 5.022 4.701
1.335 1.970 4.519
-2.287 5.100 2.178
-2.159 1.910 1.988
-1.820 3.252 6.606
-0.237 5.887 0.350
-0.061 1.512 0.090
-0.752 -0.342 5.237
-3.671 -0.284 2.289
2.663 -0.099 3.466
1.920 3.387 6.876
-0.999 3.445 3.927
```

Calculated values
**E_tot**: -0.112 Ha/atom
**Density**: 7390 kg/m3
**Space group**: No. 12